(1)
Material: KCaTc2
Method: DFT, SCAN
State: PBEsol geometry

The structure belongs to space group Cm (No. 8); the cell edges are 7.8523, 3.1141 and 8.9751 Å and the angles 90.00°, 92.96° and 90.00°. The distinct sites, in fractional coordinates, are K at (0.0000, 0.0000, 0.0000), Ca at (0.2803, 0.5000, 0.4213), Tc at (0.0251, 0.5000, 0.6347) and Tc at (0.2444, 0.0000, 0.7213).

The energy of formation from the pure elements comes out at 568 meV/atom.

---

(2)
Material: KCa2Tc
Method: DFT, SCAN
State: PBEsol geometry

The structure belongs to space group Pmm2 (No. 25); the cell edges are 3.4518, 4.4838 and 8.8579 Å and the angles 90.00°, 90.00° and 90.00°. The distinct sites, in fractional coordinates, are K at (0.0000, 0.0000, 0.0000), Ca at (0.0000, 0.0000, 0.3814), Ca at (0.5000, 0.5000, 0.6227) and Tc at (0.5000, 0.5000, 0.2963).

The energy of formation from the pure elements comes out at 786 meV/atom.

---

(3)
Material: K2CaTe
Method: DFT, SCAN
State: PBEsol geometry

The structure belongs to space group I-4m2 (No. 119); the cell edges are 5.2453, 5.2453 and 11.0558 Å and the angles 90.00°, 90.00° and 90.00°. The distinct sites, in fractional coordinates, are K at (0.0000, 0.0000, 0.0000), K at (0.0000, 0.5000, 0.2500), Ca at (0.0000, 0.5000, 0.7500) and Te at (0.0000, 0.0000, 0.5000).

The uncorrected formation energy is -0.43 eV/atom.

---

(4)
Material: KCaY2Te
Method: DFT, SCAN
State: PBEsol geometry

The structure belongs to space group P4/mmm (No. 123); the cell edges are 5.8207, 5.8207 and 5.7713 Å and the angles 90.00°, 90.00° and 90.00°. The distinct sites, in fractional coordinates, are K at (0.0000, 0.0000, 0.0000), Ca at (0.5000, 0.5000, 0.5000), Y at (0.0000, 0.5000, 0.5000) and Te at (0.5000, 0.5000, 0.0000).

The uncorrected formation energy is 0.46 eV/atom.

---

The records above give, respectively, magnetization values of 0.03; 2.17; 1.67; 0.00 μB/f.u..